Record 1
Density functional theory data (PBE-GGA) for a relaxed AlInP2 crystal. Values from VASP.

```
&SYSTEM
  ibrav = 0, nat = 4, ntyp = 3
/
ATOMIC_SPECIES
P 30.97 P.upf
Al 26.98 Al.upf
In 114.82 In.upf
CELL_PARAMETERS angstrom
5.048 -0.015 0.012
0.262 5.041 -0.012
-1.613 -3.614 3.133
ATOMIC_POSITIONS angstrom
P 5.132 4.857 0.000
P 2.833 2.681 0.000
Al 3.045 -0.558 1.573
In 0.652 1.970 1.561
```

ΔE_f = 0.86 eV per formula unit
crystal system = orthorhombic
symmetry = Immm (71)

Record 2
Density functional theory data (PBE-GGA) for a relaxed AlInPS2 crystal. Values from VASP.

```
&SYSTEM
  ibrav = 0, nat = 5, ntyp = 4
/
ATOMIC_SPECIES
P 30.97 P.upf
S 32.06 S.upf
Al 26.98 Al.upf
In 114.82 In.upf
CELL_PARAMETERS angstrom
5.060 0.000 0.000
0.000 5.060 0.000
0.000 0.000 5.119
ATOMIC_POSITIONS angstrom
P 0.000 0.000 2.560
S 0.000 2.530 0.000
S 2.530 0.000 0.000
Al 2.530 2.530 2.560
In 0.000 0.000 0.000
```

formation energy without anion corrections = 70.1 kJ/mol of atoms
crystal system = tetragonal
symmetry = P4/mmm (123)

Record 3
Density functional theory data (PBE-GGA) for a relaxed AlInPS2 crystal. Values from VASP.

```
&SYSTEM
  ibrav = 0, nat = 5, ntyp = 4
/
ATOMIC_SPECIES
P 30.97 P.upf
S 32.06 S.upf
Al 26.98 Al.upf
In 114.82 In.upf
CELL_PARAMETERS angstrom
4.612 0.000 0.000
0.000 4.612 0.000
0.000 0.000 4.908
ATOMIC_POSITIONS angstrom
P 0.000 0.000 2.454
S 0.000 2.306 0.000
S 2.306 0.000 0.000
Al 0.000 0.000 0.000
In 2.306 2.306 2.454
```

formation energy without anion corrections = 7.6 kJ/mol of atoms
crystal system = tetragonal
symmetry = P4/mmm (123)

Record 4
Density functional theory data (PBE-GGA) for a relaxed Al2InSiP crystal. Values from VASP.

```
&SYSTEM
  ibrav = 0, nat = 5, ntyp = 4
/
ATOMIC_SPECIES
P 30.97 P.upf
Si 28.09 Si.upf
Al 26.98 Al.upf
In 114.82 In.upf
CELL_PARAMETERS angstrom
-2.531 2.869 -2.690
-4.271 -1.833 2.064
0.195 3.286 3.322
ATOMIC_POSITIONS angstrom
P 0.000 0.000 0.000
Si -3.304 2.161 1.348
Al 0.097 1.643 1.661
Al -1.266 1.435 -1.345
In -2.135 -0.917 1.032
```

formation energy without anion corrections = 57.5 kJ/mol of atoms
crystal system = tetragonal
symmetry = P4/mmm (123)

no.,D(E_F) (states/eV/cell)
1,2.02
2,3.90
3,3.74
4,1.21